ScZnCoAs | PBE | optimized geometry

Cell: 4.451 4.451 4.451 Å, 60.00 60.00 60.00°
Site moments in Bohr magnetons follow the coordinates.
Sites, in units of the cell vectors:
1 As 0.000 0.000 0.000  0.01
2 Co 0.500 0.500 0.500  0.46
3 Sc 0.750 0.750 0.750  -0.06
4 Zn 0.250 0.250 0.250  -0.01

Properties
As for the crystal system: cubic. The space-group type is F-43m (216). For the excess energy over the best structure of this formula in the dataset, the calculation gives 0.1298 eV per atom.